Record 1
Below is crystalline Ac2MgCd3Ge4 at its relaxed geometry, with properties calculated at the GGA-PBE level.

crystal system: tetragonal
E_form: -0.355 eV/atom

a = 4.7785 Å, b = 4.7785 Å, c = 10.8783 Å
α = 90.00°, β = 90.00°, γ = 90.00°
Space group P-4m2 (No. 115)
One atom of each set of equivalent atoms:
1 Ac 0.0000 0.5000 0.2319 (multiplicity 2)
2 Mg 0.0000 0.0000 0.5000 (multiplicity 1)
3 Cd 0.0000 0.5000 0.8763 (multiplicity 2)
4 Cd 0.5000 0.5000 0.5000 (multiplicity 1)
5 Ge 0.0000 0.0000 0.0000 (multiplicity 1)
6 Ge 0.0000 0.5000 0.6346 (multiplicity 2)
7 Ge 0.5000 0.5000 0.0000 (multiplicity 1)

Record 2
Below is crystalline H2Pb4SO8 at its relaxed geometry, with properties calculated at the GGA-PBE level.

crystal system: triclinic
raw total energy: -5.620 eV per atom

a = 6.6383 Å, b = 7.5688 Å, c = 10.7024 Å
α = 75.85°, β = 75.28°, γ = 85.40°
Space group P-1 (No. 2)
One atom of each set of equivalent atoms:
1 H 0.0050 0.1365 0.1920 (multiplicity 2)
2 H 0.3321 0.2788 0.1897 (multiplicity 2)
3 Pb 0.2521 0.8843 0.5211 (multiplicity 2)
4 Pb 0.2707 0.3865 0.4906 (multiplicity 2)
5 Pb 0.3069 0.5240 0.8265 (multiplicity 2)
6 Pb 0.3604 0.0046 0.8201 (multiplicity 2)
7 S 0.2011 0.7669 0.1711 (multiplicity 2)
8 O 0.0197 0.2884 0.7664 (multiplicity 2)
9 O 0.1330 0.8117 0.7720 (multiplicity 2)
10 O 0.2160 0.9705 0.1382 (multiplicity 2)
11 O 0.2834 0.6976 0.0484 (multiplicity 2)
12 O 0.3348 0.6886 0.2678 (multiplicity 2)
13 O 0.3703 0.5846 0.6003 (multiplicity 2)
14 O 0.4002 0.1067 0.5908 (multiplicity 2)
15 O 0.4345 0.2497 0.2434 (multiplicity 2)

Record 3
Below is crystalline PaMnIr2 at its relaxed geometry, with properties calculated at the GGA-PBE level.

crystal system: cubic
E_form: -0.355 eV/atom
offset from the most stable computed form: 20.0 kJ per mole of atoms

a = 6.6279 Å, b = 6.6279 Å, c = 6.6279 Å
α = 90.00°, β = 90.00°, γ = 90.00°
Space group Fm-3m (No. 225)
One atom of each set of equivalent atoms:
1 Pa 0.0000 0.0000 0.0000 (multiplicity 4)
2 Mn 0.0000 0.0000 0.5000 (multiplicity 4)
3 Ir 0.2500 0.2500 0.2500 (multiplicity 8)

Record 4
Below is crystalline NaSnI at its relaxed geometry, with properties calculated at the GGA-PBE level.

crystal system: triclinic
formation energy (no corrections): -0.606 eV/atom

a = 4.2907 Å, b = 4.3773 Å, c = 12.0816 Å
α = 98.08°, β = 95.65°, γ = 90.58°
Space group P-1 (No. 2)
One atom of each set of equivalent atoms:
1 Na 0.2149 0.1991 0.3771 (multiplicity 2)
2 Sn 0.2434 0.2392 0.9868 (multiplicity 2)
3 I 0.2927 0.3112 0.6501 (multiplicity 2)

Record 5
Below is crystalline Na3Ce at its relaxed geometry, with properties calculated at the GGA-PBE level.

crystal system: cubic
E_form: 0.460 eV/atom
offset from the most stable computed form: 0.0 kJ per mole of atoms

a = 5.2770 Å, b = 5.2770 Å, c = 5.2770 Å
α = 90.00°, β = 90.00°, γ = 90.00°
Space group Pm-3m (No. 221)
One atom of each set of equivalent atoms:
1 Na 0.0000 0.0000 0.5000 (multiplicity 3)
2 Ce 0.5000 0.5000 0.5000 (multiplicity 1)

Record 6
Below is crystalline HfMo5W4 at its relaxed geometry, with properties calculated at the GGA-PBE level.

crystal system: tetragonal
E_form: -0.056 eV/atom

a = 3.1877 Å, b = 3.1877 Å, c = 16.1601 Å
α = 90.00°, β = 90.00°, γ = 90.00°
Space group P4/mmm (No. 123)
One atom of each set of equivalent atoms:
1 Hf 0.0000 0.0000 0.0000 (multiplicity 1)
2 Mo 0.5000 0.5000 0.1102 (multiplicity 2)
3 Mo 0.5000 0.5000 0.3047 (multiplicity 2)
4 Mo 0.5000 0.5000 0.5000 (multiplicity 1)
5 W 0.0000 0.0000 0.2041 (multiplicity 2)
6 W 0.0000 0.0000 0.4015 (multiplicity 2)

Record 7
Below is crystalline GaSnPb2 at its relaxed geometry, with properties calculated at the GGA-PBE level.

crystal system: trigonal
E_form: 0.152 eV/atom
offset from the most stable computed form: 10.4 kJ per mole of atoms

a = 3.3805 Å, b = 3.3805 Å, c = 35.2464 Å
α = 90.00°, β = 90.00°, γ = 120.00°
Space group R-3m (No. 166, hexagonal axes)
One atom of each set of equivalent atoms:
1 Ga 0.0000 0.0000 0.0000 (multiplicity 3)
2 Sn 0.0000 0.0000 0.5000 (multiplicity 3)
3 Pb 0.0000 0.0000 0.0848 (multiplicity 6)

Record 8
Below is crystalline Pr5Ni3Sn3 at its relaxed geometry, with properties calculated at the GGA-PBE level.

crystal system: hexagonal
E_form: -0.259 eV/atom

a = 9.0104 Å, b = 9.0104 Å, c = 4.4796 Å
α = 90.00°, β = 90.00°, γ = 120.00°
Space group P-62m (No. 189)
One atom of each set of equivalent atoms:
1 Pr 0.0000 0.2406 0.0000 (multiplicity 3)
2 Pr 0.3333 0.6667 0.0000 (multiplicity 2)
3 Ni 0.0000 0.5607 0.0000 (multiplicity 3)
4 Sn 0.0000 0.6762 0.5000 (multiplicity 3)

Computed density (g cm⁻³) in order:
7.394, 6.527, 15.294, 3.991, 2.363, 14.092, 8.609, 6.520